[1]
Material: ZrHg2Pb
Method: DFT, PBE
State: relaxed

a b c (Å): 5.2151 5.2151 5.2151
angles (deg): 60.00 60.00 60.00
Last column: magnetic moment on the atom in μB.
Sites, in units of the cell vectors:
Hg  0.0000  0.0000  0.0000  0.01
Hg  0.7500  0.7500  0.7500  0.02
Zr  0.2500  0.2500  0.2500  0.56
Pb  0.5000  0.5000  0.5000  0.05

Results
Total magnetization (μB per atom): 0.24
E_tot (eV/atom): -2.9801
SG: F-43m


[2]
Material: TbBiB4
Method: DFT, PBE
State: relaxed

a b c (Å): 3.2820 3.2820 8.1515
angles (deg): 90.00 90.00 120.00
Sites, in units of the cell vectors:
Tb  0.0000  0.0000  0.5000
B  0.3333  0.6667  0.7329
B  0.6667  0.3333  0.2671
B  0.6667  0.3333  0.7329
B  0.3333  0.6667  0.2671
Bi  0.0000  0.0000  0.0000

Results
Total magnetization (μB per atom): 0.00
E_tot (eV/atom): -5.7899
SG: P6/mmm


[3]
Material: Y5Mo2Br
Method: DFT, PBE
State: relaxed

a b c (Å): 5.5251 5.5251 8.0091
angles (deg): 90.00 90.00 90.00
Sites, in units of the cell vectors:
Y  0.5000  0.5000  0.0000
Y  0.5000  0.0000  0.7160
Y  0.0000  0.5000  0.7160
Y  0.5000  0.0000  0.2840
Y  0.0000  0.5000  0.2840
Mo  0.5000  0.5000  0.3500
Mo  0.5000  0.5000  0.6500
Br  0.0000  0.0000  0.0000

Results
Total magnetization (μB per atom): 0.00
E_tot (eV/atom): -6.6117
SG: P4/mmm


[4]
Material: SrTmNp
Method: DFT, PBE
State: relaxed

a b c (Å): 5.6693 5.6693 5.6693
angles (deg): 60.00 60.00 60.00
Sites, in units of the cell vectors:
Sr  0.7500  0.7500  0.7500
Np  0.2500  0.2500  0.2500
Tm  0.0000  0.0000  0.0000

Results
Total magnetization (μB per atom): 2.04
E_tot (eV/atom): -4.9929
SG: F-43m